Gd2PaGa: optimized geometry, GGA-PBE.

```
Gd2PaGa
1.0
-1.754 -0.331 -4.930
-4.617 -2.278 -0.993
-4.083 2.910 -1.530
Ga Gd Pa
1 2 1
direct
0.500 0.500 0.500
0.250 0.250 0.250
0.750 0.750 0.750
0.000 0.000 0.000
```

Computed properties:
DOS at the Fermi energy = 7.2 states/eV/cell
Energy above the lowest structure with this stoichiometry = 301 meV per atom
Formation enthalpy at 0 K = 147 meV per atom